Entry 1:
Rb3HoBi2S6 | GGA-PBE | optimized geometry

ρ: 4.96 g/cm³
Formation energy (no corrections): -1.14 eV/atom

```
data_Rb3HoBi2S6
_chemical_formula_sum 'Rb3 Ho1 Bi2 S6'
_space_group_name_H-M_alt 'P 1'
_space_group_IT_number 1
_cell_length_a 7.2014
_cell_length_b 7.2014
_cell_length_c 8.0551
_cell_angle_alpha 98.56
_cell_angle_beta 98.56
_cell_angle_gamma 120.00
loop_
_space_group_symop_operation_xyz
'x,y,z'
loop_
_atom_site_label
_atom_site_fract_x
_atom_site_fract_y
_atom_site_fract_z
Rb1 0.1696 0.8304 0.5000
Rb2 0.8304 0.1696 0.5000
Rb3 0.5000 0.5000 0.5000
Ho1 0.0000 0.0000 0.0000
Bi1 0.3337 0.6663 0.0000
Bi2 0.6663 0.3337 0.0000
S1 0.9346 0.6109 0.8036
S2 0.7420 0.7420 0.1973
S3 0.0654 0.3891 0.1964
S4 0.6109 0.9346 0.8036
S5 0.2580 0.2580 0.8027
S6 0.3891 0.0654 0.1964
```

***

Entry 2:
Rb2Ho2BiS6 | GGA-PBE | optimized geometry

ρ: 4.52 g/cm³
Formation energy (no corrections): -1.38 eV/atom

```
data_Rb2Ho2BiS6
_chemical_formula_sum 'Rb2 Ho2 Bi1 S6'
_space_group_name_H-M_alt 'P 1'
_space_group_IT_number 1
_cell_length_a 6.9511
_cell_length_b 6.9511
_cell_length_c 8.2575
_cell_angle_alpha 97.93
_cell_angle_beta 97.93
_cell_angle_gamma 120.14
loop_
_space_group_symop_operation_xyz
'x,y,z'
loop_
_atom_site_label
_atom_site_fract_x
_atom_site_fract_y
_atom_site_fract_z
Rb1 0.8339 0.1661 0.0000
Rb2 0.1661 0.8339 0.0000
Ho1 0.3331 0.6669 0.5000
Ho2 0.6669 0.3331 0.5000
Bi1 0.0000 0.0000 0.5000
S1 0.7274 0.7274 0.6888
S2 0.0614 0.3985 0.6887
S3 0.2726 0.2726 0.3112
S4 0.3985 0.0614 0.6887
S5 0.9386 0.6015 0.3113
S6 0.6015 0.9386 0.3113
```

***

Entry 3:
Rb3Ho2BiS6 | GGA-PBE | optimized geometry

ρ: 4.86 g/cm³
Formation energy (no corrections): -1.50 eV/atom

```
data_Rb3Ho2BiS6
_chemical_formula_sum 'Rb3 Ho2 Bi1 S6'
_space_group_name_H-M_alt 'P 1'
_space_group_IT_number 1
_cell_length_a 7.1215
_cell_length_b 7.1215
_cell_length_c 8.0356
_cell_angle_alpha 98.49
_cell_angle_beta 98.49
_cell_angle_gamma 120.00
loop_
_space_group_symop_operation_xyz
'x,y,z'
loop_
_atom_site_label
_atom_site_fract_x
_atom_site_fract_y
_atom_site_fract_z
Rb1 0.1641 0.8359 0.5000
Rb2 0.8359 0.1641 0.5000
Rb3 0.5000 0.5000 0.5000
Ho1 0.3331 0.6669 0.0000
Ho2 0.6669 0.3331 0.0000
Bi1 0.0000 0.0000 0.0000
S1 0.9353 0.5921 0.8061
S2 0.7212 0.7212 0.1933
S3 0.0647 0.4079 0.1939
S4 0.5921 0.9353 0.8061
S5 0.2788 0.2788 0.8067
S6 0.4079 0.0647 0.1939
```

***

Entry 4:
Rb2HoBiSe4 | GGA-PBE | optimized geometry

ρ: 5.59 g/cm³
Formation energy (no corrections): -1.26 eV/atom

```
data_Rb2HoBiSe4
_chemical_formula_sum 'Rb2 Ho1 Bi1 Se4'
_space_group_name_H-M_alt 'P 1'
_space_group_IT_number 1
_cell_length_a 4.2872
_cell_length_b 7.4626
_cell_length_c 8.3659
_cell_angle_alpha 107.08
_cell_angle_beta 90.00
_cell_angle_gamma 90.00
loop_
_space_group_symop_operation_xyz
'x,y,z'
loop_
_atom_site_label
_atom_site_fract_x
_atom_site_fract_y
_atom_site_fract_z
Rb1 0.5000 0.0000 0.5000
Rb2 0.0000 0.5000 0.5000
Ho1 0.5000 0.5000 0.0000
Bi1 0.0000 0.0000 0.0000
Se1 0.5000 0.2419 0.1998
Se2 0.5000 0.7581 0.8002
Se3 0.0000 0.2757 0.8042
Se4 0.0000 0.7243 0.1958
```

***

Entry 5:
Rb3HoBi2Se6 | GGA-PBE | optimized geometry

ρ: 5.62 g/cm³
Formation energy (no corrections): -1.10 eV/atom

```
data_Rb3HoBi2Se6
_chemical_formula_sum 'Rb3 Ho1 Bi2 Se6'
_space_group_name_H-M_alt 'P 1'
_space_group_IT_number 1
_cell_length_a 7.4825
_cell_length_b 7.4825
_cell_length_c 8.3818
_cell_angle_alpha 98.55
_cell_angle_beta 98.55
_cell_angle_gamma 119.99
loop_
_space_group_symop_operation_xyz
'x,y,z'
loop_
_atom_site_label
_atom_site_fract_x
_atom_site_fract_y
_atom_site_fract_z
Rb1 0.1698 0.8302 0.5000
Rb2 0.8302 0.1698 0.5000
Rb3 0.5000 0.5000 0.5000
Ho1 0.0000 0.0000 0.0000
Bi1 0.3337 0.6663 0.0000
Bi2 0.6663 0.3337 0.0000
Se1 0.9338 0.6091 0.8011
Se2 0.7420 0.7420 0.1999
Se3 0.0662 0.3909 0.1989
Se4 0.6091 0.9338 0.8011
Se5 0.2580 0.2580 0.8001
Se6 0.3909 0.0662 0.1989
```

***

Entry 6:
Rb2HoBiTe4 | GGA-PBE | optimized geometry

ρ: 5.64 g/cm³
Formation energy (no corrections): -0.99 eV/atom

```
data_Rb2HoBiTe4
_chemical_formula_sum 'Rb2 Ho1 Bi1 Te4'
_space_group_name_H-M_alt 'P 1'
_space_group_IT_number 1
_cell_length_a 4.5488
_cell_length_b 7.9822
_cell_length_c 8.9436
_cell_angle_alpha 106.84
_cell_angle_beta 90.00
_cell_angle_gamma 90.00
loop_
_space_group_symop_operation_xyz
'x,y,z'
loop_
_atom_site_label
_atom_site_fract_x
_atom_site_fract_y
_atom_site_fract_z
Rb1 0.5000 0.0000 0.5000
Rb2 0.0000 0.5000 0.5000
Ho1 0.5000 0.5000 0.0000
Bi1 0.0000 0.0000 0.0000
Te1 0.5000 0.2404 0.2009
Te2 0.5000 0.7596 0.7991
Te3 0.0000 0.2729 0.8015
Te4 0.0000 0.7271 0.1985
```

***

Entry 7:
Rb3HoBi2Te6 | GGA-PBE | optimized geometry

ρ: 5.66 g/cm³
Formation energy (no corrections): -0.87 eV/atom

```
data_Rb3HoBi2Te6
_chemical_formula_sum 'Rb3 Ho1 Bi2 Te6'
_space_group_name_H-M_alt 'P 1'
_space_group_IT_number 1
_cell_length_a 7.9662
_cell_length_b 7.9662
_cell_length_c 8.9635
_cell_angle_alpha 98.51
_cell_angle_beta 98.51
_cell_angle_gamma 120.00
loop_
_space_group_symop_operation_xyz
'x,y,z'
loop_
_atom_site_label
_atom_site_fract_x
_atom_site_fract_y
_atom_site_fract_z
Rb1 0.1695 0.8305 0.5000
Rb2 0.8305 0.1695 0.5000
Rb3 0.5000 0.5000 0.5000
Ho1 0.0000 0.0000 0.0000
Bi1 0.3337 0.6663 0.0000
Bi2 0.6663 0.3337 0.0000
Te1 0.9336 0.6063 0.8001
Te2 0.7398 0.7398 0.2009
Te3 0.0664 0.3937 0.1999
Te4 0.6063 0.9336 0.8001
Te5 0.2602 0.2602 0.7991
Te6 0.3937 0.0664 0.1999
```

***

Entry 8:
Rb3Ho3BiTe8 | GGA-PBE | optimized geometry

ρ: 5.49 g/cm³
Formation energy (no corrections): -1.10 eV/atom

```
data_Rb3Ho3BiTe8
_chemical_formula_sum 'Rb3 Ho3 Bi1 Te8'
_space_group_name_H-M_alt 'P 1'
_space_group_IT_number 1
_cell_length_a 8.8562
_cell_length_b 8.8823
_cell_length_c 10.1898
_cell_angle_alpha 116.03
_cell_angle_beta 90.00
_cell_angle_gamma 119.86
loop_
_space_group_symop_operation_xyz
'x,y,z'
loop_
_atom_site_label
_atom_site_fract_x
_atom_site_fract_y
_atom_site_fract_z
Rb1 0.0000 0.0000 0.0000
Rb2 0.0000 0.5000 0.0000
Rb3 0.5000 0.5000 0.0000
Ho1 0.5000 0.0000 0.5000
Ho2 0.5000 0.5000 0.5000
Ho3 0.0000 0.5000 0.5000
Bi1 0.0000 0.0000 0.5000
Te1 0.2668 0.5336 0.3007
Te2 0.7332 0.4664 0.6993
Te3 0.7614 0.5229 0.2998
Te4 0.2386 0.4771 0.7002
Te5 0.7615 0.0382 0.2999
Te6 0.2385 0.9618 0.7001
Te7 0.2767 0.0382 0.3000
Te8 0.7233 0.9618 0.7000
```

***

Entry 9:
Ho8ReBi2 | GGA-PBE | optimized geometry

ρ: 10.11 g/cm³
Formation energy from the elements: -0.229 eV per atom

```
data_Ho8ReBi2
_chemical_formula_sum 'Ho8 Re1 Bi2'
_space_group_name_H-M_alt 'P 1'
_space_group_IT_number 1
_cell_length_a 5.0504
_cell_length_b 6.7228
_cell_length_c 10.0419
_cell_angle_alpha 106.29
_cell_angle_beta 104.56
_cell_angle_gamma 90.00
loop_
_space_group_symop_operation_xyz
'x,y,z'
loop_
_atom_site_label
_atom_site_fract_x
_atom_site_fract_y
_atom_site_fract_z
Ho1 0.4127 0.5423 0.8254
Ho2 0.6432 0.0133 0.2865
Ho3 0.7830 0.6710 0.5661
Ho4 0.9824 0.2114 0.9648
Ho5 0.2170 0.3290 0.4339
Ho6 0.3568 0.9867 0.7135
Ho7 0.5873 0.4577 0.1746
Ho8 0.0176 0.7886 0.0352
Re1 0.5000 0.0000 0.0000
Bi1 0.8198 0.2369 0.6397
Bi2 0.1802 0.7631 0.3603
```

***

Entry 10:
Ho7Bi2Rh2 | GGA-PBE | optimized geometry

ρ: 8.95 g/cm³
Formation energy from the elements: -0.511 eV per atom

```
data_Ho7Bi2Rh2
_chemical_formula_sum 'Ho7 Bi2 Rh2'
_space_group_name_H-M_alt 'P 1'
_space_group_IT_number 1
_cell_length_a 6.8345
_cell_length_b 7.1964
_cell_length_c 6.8345
_cell_angle_alpha 90.00
_cell_angle_beta 101.08
_cell_angle_gamma 90.00
loop_
_space_group_symop_operation_xyz
'x,y,z'
loop_
_atom_site_label
_atom_site_fract_x
_atom_site_fract_y
_atom_site_fract_z
Ho1 0.0000 0.2380 0.5000
Ho2 0.5000 0.7620 0.0000
Ho3 0.0000 0.7620 0.5000
Ho4 0.5000 0.2380 0.0000
Ho5 0.0000 0.0000 0.0000
Ho6 0.5000 0.7708 0.5000
Ho7 0.5000 0.2292 0.5000
Bi1 0.7958 0.5000 0.7958
Bi2 0.2042 0.5000 0.2042
Rh1 0.7219 0.0000 0.2781
Rh2 0.2781 0.0000 0.7219
```

***

Entry 11:
Ho5BiRh | GGA-PBE | optimized geometry

ρ: 9.25 g/cm³
Formation energy from the elements: -0.341 eV per atom

```
data_Ho5BiRh
_chemical_formula_sum 'Ho10 Bi2 Rh2'
_space_group_name_H-M_alt 'P 1'
_space_group_IT_number 1
_cell_length_a 6.4934
_cell_length_b 6.4934
_cell_length_c 11.3659
_cell_angle_alpha 75.04
_cell_angle_beta 75.04
_cell_angle_gamma 63.34
loop_
_space_group_symop_operation_xyz
'x,y,z'
loop_
_atom_site_label
_atom_site_fract_x
_atom_site_fract_y
_atom_site_fract_z
Ho1 0.9634 0.6019 0.1392
Ho2 0.2124 0.5432 0.5412
Ho3 0.6019 0.9634 0.6392
Ho4 0.9653 0.0347 0.2500
Ho5 0.4568 0.7876 0.9588
Ho6 0.5432 0.2124 0.0412
Ho7 0.0347 0.9653 0.7500
Ho8 0.3981 0.0366 0.3608
Ho9 0.7876 0.4568 0.4588
Ho10 0.0366 0.3981 0.8608
Bi1 0.4615 0.5385 0.2500
Bi2 0.5385 0.4615 0.7500
Rh1 0.0000 0.0000 0.0000
Rh2 0.0000 0.0000 0.5000
```

***

Entry 12:
Ho4Bi2Rh | GGA-PBE | optimized geometry

ρ: 9.29 g/cm³
Formation energy from the elements: -0.699 eV per atom

```
data_Ho4Bi2Rh
_chemical_formula_sum 'Ho8 Bi4 Rh2'
_space_group_name_H-M_alt 'P 1'
_space_group_IT_number 1
_cell_length_a 4.3767
_cell_length_b 7.8919
_cell_length_c 12.2125
_cell_angle_alpha 90.00
_cell_angle_beta 90.00
_cell_angle_gamma 90.00
loop_
_space_group_symop_operation_xyz
'x,y,z'
loop_
_atom_site_label
_atom_site_fract_x
_atom_site_fract_y
_atom_site_fract_z
Ho1 0.0000 0.6256 0.8029
Ho2 0.0000 0.3744 0.1971
Ho3 0.0000 0.1256 0.6971
Ho4 0.0000 0.8744 0.3029
Ho5 0.5000 0.7880 0.5586
Ho6 0.5000 0.2120 0.4414
Ho7 0.5000 0.7120 0.0586
Ho8 0.5000 0.2880 0.9414
Bi1 0.5000 0.9180 0.8294
Bi2 0.5000 0.0820 0.1706
Bi3 0.5000 0.4180 0.6706
Bi4 0.5000 0.5820 0.3293
Rh1 0.0000 0.0000 0.5000
Rh2 0.0000 0.5000 0.0000
```

***

Entry 13:
HoBiRh2 | GGA-PBE | optimized geometry

ρ: 12.30 g/cm³
Formation energy from the elements: -0.559 eV per atom

```
data_HoBiRh2
_chemical_formula_sum 'Ho1 Bi1 Rh2'
_space_group_name_H-M_alt 'P 1'
_space_group_IT_number 1
_cell_length_a 3.6451
_cell_length_b 4.6335
_cell_length_c 4.6335
_cell_angle_alpha 90.00
_cell_angle_beta 90.00
_cell_angle_gamma 90.00
loop_
_space_group_symop_operation_xyz
'x,y,z'
loop_
_atom_site_label
_atom_site_fract_x
_atom_site_fract_y
_atom_site_fract_z
Rh1 0.0000 0.0000 0.5000
Rh2 0.0000 0.5000 0.0000
Bi1 0.5000 0.5000 0.5000
Ho1 0.5000 0.0000 0.0000
```

***

Entry 14:
HoBiRh | GGA-PBE | optimized geometry

ρ: 11.77 g/cm³
Formation energy from the elements: -0.747 eV per atom

```
data_HoBiRh
_chemical_formula_sum 'Ho3 Bi3 Rh3'
_space_group_name_H-M_alt 'P 1'
_space_group_IT_number 1
_cell_length_a 7.6525
_cell_length_b 7.6525
_cell_length_c 3.9781
_cell_angle_alpha 90.00
_cell_angle_beta 90.00
_cell_angle_gamma 120.00
loop_
_space_group_symop_operation_xyz
'x,y,z'
loop_
_atom_site_label
_atom_site_fract_x
_atom_site_fract_y
_atom_site_fract_z
Ho1 0.6003 0.0000 0.0000
Ho2 0.0000 0.6003 0.0000
Ho3 0.3997 0.3997 0.0000
Bi1 0.2656 0.0000 0.5000
Bi2 0.0000 0.2656 0.5000
Bi3 0.7344 0.7344 0.5000
Rh1 0.3333 0.6667 0.5000
Rh2 0.6667 0.3333 0.5000
Rh3 0.0000 0.0000 0.0000
```

***

Entry 15:
HoBi5Rh3 | GGA-PBE | optimized geometry

ρ: 10.13 g/cm³
Formation energy from the elements: -0.176 eV per atom

```
data_HoBi5Rh3
_chemical_formula_sum 'Ho2 Bi10 Rh6'
_space_group_name_H-M_alt 'P 1'
_space_group_IT_number 1
_cell_length_a 7.5736
_cell_length_b 7.5736
_cell_length_c 9.7954
_cell_angle_alpha 72.81
_cell_angle_beta 72.81
_cell_angle_gamma 72.19
loop_
_space_group_symop_operation_xyz
'x,y,z'
loop_
_atom_site_label
_atom_site_fract_x
_atom_site_fract_y
_atom_site_fract_z
Ho1 0.1006 0.1006 0.7042
Ho2 0.8994 0.8994 0.2958
Bi1 0.9754 0.3763 0.3571
Bi2 0.2994 0.7006 0.0000
Bi3 0.7685 0.7685 0.0325
Bi4 0.4329 0.4329 0.3678
Bi5 0.5671 0.5671 0.6322
Bi6 0.2315 0.2315 0.9675
Bi7 0.3763 0.9754 0.3571
Bi8 0.7006 0.2994 0.0000
Bi9 0.0246 0.6237 0.6429
Bi10 0.6237 0.0246 0.6429
Rh1 0.6660 0.6660 0.8364
Rh2 0.6708 0.6708 0.3273
Rh3 0.0000 0.0000 0.0000
Rh4 0.0000 0.0000 0.5000
Rh5 0.3340 0.3340 0.1636
Rh6 0.3292 0.3292 0.6727
```

***

Entry 16:
Ho8BiRh2 | GGA-PBE | optimized geometry

ρ: 9.40 g/cm³
Formation energy from the elements: -0.437 eV per atom

```
data_Ho8BiRh2
_chemical_formula_sum 'Ho8 Bi1 Rh2'
_space_group_name_H-M_alt 'P 1'
_space_group_IT_number 1
_cell_length_a 5.5565
_cell_length_b 7.8825
_cell_length_c 7.8825
_cell_angle_alpha 113.86
_cell_angle_beta 97.54
_cell_angle_gamma 97.54
loop_
_space_group_symop_operation_xyz
'x,y,z'
loop_
_atom_site_label
_atom_site_fract_x
_atom_site_fract_y
_atom_site_fract_z
Ho1 0.9181 0.9231 0.6652
Ho2 0.9181 0.6652 0.9231
Ho3 0.2978 0.6026 0.6026
Ho4 0.5000 0.7513 0.2487
Ho5 0.5000 0.2487 0.7513
Ho6 0.7022 0.3974 0.3974
Ho7 0.0819 0.3348 0.0769
Ho8 0.0819 0.0769 0.3348
Bi1 0.5000 0.0000 0.0000
Rh1 0.0000 0.3032 0.6968
Rh2 0.0000 0.6968 0.3032
```

***

Entry 17:
HoBiRh | GGA-PBE | optimized geometry

ρ: 11.24 g/cm³
Formation energy from the elements: -0.453 eV per atom

```
data_HoBiRh
_chemical_formula_sum 'Ho1 Bi1 Rh1'
_space_group_name_H-M_alt 'P 1'
_space_group_IT_number 1
_cell_length_a 3.7920
_cell_length_b 3.7920
_cell_length_c 5.5864
_cell_angle_alpha 109.84
_cell_angle_beta 109.84
_cell_angle_gamma 90.00
loop_
_space_group_symop_operation_xyz
'x,y,z'
loop_
_atom_site_label
_atom_site_fract_x
_atom_site_fract_y
_atom_site_fract_z
Rh1 0.9787 0.9787 0.9574
Bi1 0.2805 0.2805 0.5611
Ho1 0.5908 0.5908 0.1816
```

***

Entry 18:
Ho3BiRh | GGA-PBE | optimized geometry

ρ: 9.79 g/cm³
Formation energy from the elements: -0.703 eV per atom

```
data_Ho3BiRh
_chemical_formula_sum 'Ho6 Bi2 Rh2'
_space_group_name_H-M_alt 'P 1'
_space_group_IT_number 1
_cell_length_a 4.3794
_cell_length_b 7.9914
_cell_length_c 8.4707
_cell_angle_alpha 112.55
_cell_angle_beta 90.00
_cell_angle_gamma 90.00
loop_
_space_group_symop_operation_xyz
'x,y,z'
loop_
_atom_site_label
_atom_site_fract_x
_atom_site_fract_y
_atom_site_fract_z
Ho1 0.7500 0.6798 0.4042
Ho2 0.2500 0.3202 0.5958
Ho3 0.7500 0.3292 0.9276
Ho4 0.2500 0.9543 0.7483
Ho5 0.2500 0.6708 0.0724
Ho6 0.7500 0.0457 0.2517
Bi1 0.2500 0.3337 0.2105
Bi2 0.7500 0.6663 0.7895
Rh1 0.2500 0.9171 0.3924
Rh2 0.7500 0.0829 0.6076
```

***

Entry 19:
Ho2BiRh | GGA-PBE | optimized geometry

ρ: 9.90 g/cm³
Formation energy from the elements: -0.641 eV per atom

```
data_Ho2BiRh
_chemical_formula_sum 'Ho2 Bi1 Rh1'
_space_group_name_H-M_alt 'P 1'
_space_group_IT_number 1
_cell_length_a 3.8575
_cell_length_b 3.8575
_cell_length_c 8.6433
_cell_angle_alpha 77.11
_cell_angle_beta 77.11
_cell_angle_gamma 60.00
loop_
_space_group_symop_operation_xyz
'x,y,z'
loop_
_atom_site_label
_atom_site_fract_x
_atom_site_fract_y
_atom_site_fract_z
Rh1 0.0000 0.0000 0.0000
Bi1 0.5000 0.5000 0.5000
Ho1 0.7309 0.7309 0.8074
Ho2 0.2691 0.2691 0.1926
```

***

Entry 20:
HoBiRh | GGA-PBE | optimized geometry

ρ: 11.68 g/cm³
Formation energy from the elements: -0.614 eV per atom

```
data_HoBiRh
_chemical_formula_sum 'Ho1 Bi1 Rh1'
_space_group_name_H-M_alt 'P 1'
_space_group_IT_number 1
_cell_length_a 3.5158
_cell_length_b 4.7192
_cell_length_c 4.7192
_cell_angle_alpha 120.00
_cell_angle_beta 90.00
_cell_angle_gamma 90.00
loop_
_space_group_symop_operation_xyz
'x,y,z'
loop_
_atom_site_label
_atom_site_fract_x
_atom_site_fract_y
_atom_site_fract_z
Rh1 0.1668 0.3333 0.6667
Bi1 0.1666 0.0000 0.0000
Ho1 0.6666 0.6667 0.3333
```

***

no.,energy (eV per formula unit)
1,-53.668
2,-54.865
3,-58.686
4,-34.420
5,-49.397
6,-30.911
7,-44.507
8,-62.223
9,-59.348
10,-60.129
11,-36.506
12,-38.319
13,-25.398
14,-18.050
15,-47.622
16,-60.013
17,-17.170
18,-28.480
19,-22.952
20,-17.651